A plane-wave DFT calculation with PBE was carried out for a geometry-optimized La2PuNiSe5 structure.

Output
Formation energy (no corrections) ... -35.7 kcal/mol of atoms
Raw total energy ... -122.68 eV per cell
Crystal system ... orthorhombic

abc: 8.9939 8.9939 12.5484
angles: 90.00 90.00 153.77
Last column: nearest neighbours and their distance in Å.
Sites, in units of the cell vectors:
La: 0.1128 0.8872 0.5000  7 Se 3.06-3.18
La: 0.1195 0.8805 0.8516  7 Se 3.03-3.25
La: 0.8805 0.1195 0.3516  7 Se 3.03-3.25
La: 0.8872 0.1128 0.0000  7 Se 3.06-3.18
Pu: 0.1796 0.8204 0.1793  6 Se 2.80-2.91
Pu: 0.8204 0.1796 0.6793  6 Se 2.80-2.91
Ni: 0.4435 0.5565 0.5740  4 Se 2.38-2.41
Ni: 0.5565 0.4435 0.0740  4 Se 2.38-2.41
Se: 0.0203 0.9797 0.1616  2 Ni 2.40
Se: 0.3051 0.6949 0.8428  2 Pu 2.91, 3 La 3.18-3.25
Se: 0.3121 0.6879 0.5162  1 Ni 2.41
Se: 0.3450 0.6550 0.1737  1 Pu 2.90, 4 La 3.08-3.09
Se: 0.4972 0.5028 0.9034  1 Ni 2.38
Se: 0.5028 0.4972 0.4034  1 Ni 2.38
Se: 0.6550 0.3450 0.6737  1 Pu 2.90, 4 La 3.08-3.09
Se: 0.6879 0.3121 0.0162  1 Ni 2.41
Se: 0.6949 0.3051 0.3428  2 Pu 2.91, 3 La 3.18-3.25
Se: 0.9797 0.0203 0.6616  2 Ni 2.40